DyAlPO | PBE | relaxed

a b c (Å): 3.9587 3.9587 8.4853
angles (deg): 90.00 90.00 90.00
Closest atoms and distances in Å follow each position.
Element x y z (fractional)
Dy 0.2500 0.2500 0.1254  4 O 2.25
Dy 0.7500 0.7500 0.8746  4 O 2.25
Al 0.2500 0.7500 0.5000  4 P 2.44
Al 0.7500 0.2500 0.5000  4 P 2.44
P 0.2500 0.2500 0.6683  4 Al 2.44
P 0.7500 0.7500 0.3317  4 Al 2.44
O 0.2500 0.7500 0.0000  4 Dy 2.25
O 0.7500 0.2500 0.0000  4 Dy 2.25

Properties
- ΔE to the lowest computed polymorph (meV/atom) = 0
- magnetic moment (μB/f.u.) = 0.0
- calculated density (Mg/m³) = 5.9
- volume (Å³ per cell) = 133